(1)
! La2NdErSb4 (PBE-GGA, relaxed); values from VASP
&SYSTEM
  ibrav = 0, nat = 8, ntyp = 4
/
ATOMIC_SPECIES
La 138.91 La.upf
Nd 144.24 Nd.upf
Er 167.26 Er.upf
Sb 121.76 Sb.upf
CELL_PARAMETERS angstrom
7.844 0.000 0.000
0.000 4.540 0.000
-2.625 0.000 7.403
ATOMIC_POSITIONS crystal
La 0.000 0.000 0.000
La 0.000 0.500 0.500
Nd 0.500 0.000 0.500
Er 0.500 0.500 0.000
Sb 0.258 0.500 0.248
Sb 0.262 0.000 0.759
Sb 0.738 0.000 0.241
Sb 0.742 0.500 0.752
! Space-group type   P2/m
! DFT total energy   -5.6608 eV per atom

---

(2)
! LaNdEr2Sb4 (PBE-GGA, relaxed); values from VASP
&SYSTEM
  ibrav = 0, nat = 8, ntyp = 4
/
ATOMIC_SPECIES
La 138.91 La.upf
Nd 144.24 Nd.upf
Er 167.26 Er.upf
Sb 121.76 Sb.upf
CELL_PARAMETERS angstrom
7.718 0.000 0.000
0.000 4.473 0.000
-2.589 0.000 7.297
ATOMIC_POSITIONS crystal
La 0.000 0.000 0.000
Nd 0.000 0.500 0.500
Er 0.500 0.000 0.500
Er 0.500 0.500 0.000
Sb 0.263 0.000 0.752
Sb 0.264 0.500 0.257
Sb 0.736 0.500 0.743
Sb 0.737 0.000 0.248
! Space-group type   P2/m
! DFT total energy   -5.5714 eV per atom

---

(3)
! La3NdEr2Sb6 (PBE-GGA, relaxed); values from VASP
&SYSTEM
  ibrav = 0, nat = 12, ntyp = 4
/
ATOMIC_SPECIES
La 138.91 La.upf
Nd 144.24 Nd.upf
Er 167.26 Er.upf
Sb 121.76 Sb.upf
CELL_PARAMETERS angstrom
3.918 -6.786 0.000
3.918 6.786 0.000
-2.613 0.000 7.366
ATOMIC_POSITIONS crystal
La 0.000 0.000 0.000
La 0.335 0.665 0.000
La 0.665 0.335 0.000
Nd 0.500 0.500 0.500
Er 0.167 0.833 0.500
Er 0.833 0.167 0.500
Sb 0.081 0.420 0.261
Sb 0.239 0.239 0.737
Sb 0.420 0.081 0.261
Sb 0.580 0.919 0.739
Sb 0.761 0.761 0.263
Sb 0.919 0.580 0.739
! Space-group type   C2/m
! DFT total energy   -5.6439 eV per atom

---

(4)
! La2Nd3Er6Sc (PBE-GGA, relaxed); values from VASP
&SYSTEM
  ibrav = 0, nat = 12, ntyp = 4
/
ATOMIC_SPECIES
La 138.91 La.upf
Nd 144.24 Nd.upf
Er 167.26 Er.upf
Sc 44.96 Sc.upf
CELL_PARAMETERS angstrom
3.093 -5.358 0.000
3.093 5.358 0.000
-2.059 0.000 11.600
ATOMIC_POSITIONS crystal
La 0.166 0.834 0.000
La 0.834 0.166 0.000
Nd 0.000 0.000 0.500
Nd 0.333 0.667 0.500
Nd 0.667 0.333 0.500
Er 0.088 0.417 0.751
Er 0.253 0.253 0.249
Er 0.417 0.088 0.751
Er 0.583 0.912 0.249
Er 0.747 0.747 0.751
Er 0.912 0.583 0.249
Sc 0.500 0.500 0.000
! Space-group type   C2/m
! Calculated formation energy   0.03 eV per atom
! DFT total energy   -4.7955 eV per atom

---

(5)
! LaNd2ErSc (PBE-GGA, relaxed); values from VASP
&SYSTEM
  ibrav = 0, nat = 10, ntyp = 4
/
ATOMIC_SPECIES
La 138.91 La.upf
Nd 144.24 Nd.upf
Er 167.26 Er.upf
Sc 44.96 Sc.upf
CELL_PARAMETERS angstrom
9.054 0.000 0.000
0.000 6.315 0.000
-2.140 0.000 5.892
ATOMIC_POSITIONS crystal
La 0.000 0.000 0.000
La 0.000 0.000 0.500
Nd 0.314 0.318 0.157
Nd 0.314 0.682 0.657
Nd 0.686 0.318 0.343
Nd 0.686 0.682 0.843
Er 0.500 0.163 0.750
Er 0.500 0.837 0.250
Sc 0.000 0.499 0.750
Sc 0.000 0.501 0.250
! Space-group type   P2/c
! Calculated formation energy   0.26 eV per atom
! DFT total energy   -4.8126 eV per atom

---

(6)
! La2Nd5ErSc (PBE-GGA, relaxed); values from VASP
&SYSTEM
  ibrav = 0, nat = 18, ntyp = 4
/
ATOMIC_SPECIES
La 138.91 La.upf
Nd 144.24 Nd.upf
Er 167.26 Er.upf
Sc 44.96 Sc.upf
CELL_PARAMETERS angstrom
2.743 -11.095 0.000
2.743 11.095 0.000
0.000 0.000 10.209
ATOMIC_POSITIONS crystal
La 0.116 0.884 0.500
La 0.116 0.884 0.990
La 0.884 0.116 0.000
La 0.884 0.116 0.490
Nd 0.001 0.999 0.245
Nd 0.276 0.724 0.559
Nd 0.276 0.724 0.932
Nd 0.372 0.628 0.245
Nd 0.500 0.500 0.495
Nd 0.500 0.500 0.995
Nd 0.628 0.372 0.745
Nd 0.724 0.276 0.059
Nd 0.724 0.276 0.432
Nd 0.999 0.001 0.745
Er 0.397 0.603 0.745
Er 0.603 0.397 0.245
Sc 0.212 0.788 0.245
Sc 0.788 0.212 0.745
! Space-group type   Cmc2_1
! Calculated formation energy   0.11 eV per atom
! DFT total energy   -4.8441 eV per atom

---

(7)
! La5Nd2ErSc (PBE-GGA, relaxed); values from VASP
&SYSTEM
  ibrav = 0, nat = 18, ntyp = 4
/
ATOMIC_SPECIES
La 138.91 La.upf
Nd 144.24 Nd.upf
Er 167.26 Er.upf
Sc 44.96 Sc.upf
CELL_PARAMETERS angstrom
-4.232 4.232 8.856
4.232 -4.232 8.856
4.232 4.232 -8.856
ATOMIC_POSITIONS crystal
La 0.000 0.000 0.000
La 0.076 0.576 0.944
La 0.133 0.076 0.500
La 0.367 0.867 0.944
La 0.424 0.367 0.500
La 0.500 0.500 0.000
La 0.576 0.633 0.500
La 0.633 0.133 0.056
La 0.867 0.924 0.500
La 0.924 0.424 0.056
Nd 0.127 0.373 0.500
Nd 0.373 0.873 0.246
Nd 0.627 0.127 0.754
Nd 0.873 0.627 0.500
Er 0.250 0.250 0.000
Er 0.750 0.750 0.000
Sc 0.250 0.750 0.500
Sc 0.750 0.250 0.500
! Space-group type   I4/mcm
! Calculated formation energy   0.27 eV per atom
! DFT total energy   -4.7366 eV per atom

---

(8)
! La5NdEr2Sc (PBE-GGA, relaxed); values from VASP
&SYSTEM
  ibrav = 0, nat = 18, ntyp = 4
/
ATOMIC_SPECIES
La 138.91 La.upf
Nd 144.24 Nd.upf
Er 167.26 Er.upf
Sc 44.96 Sc.upf
CELL_PARAMETERS angstrom
2.723 -10.972 0.000
2.723 10.972 0.000
0.000 0.000 10.465
ATOMIC_POSITIONS crystal
La 0.002 0.998 0.500
La 0.128 0.872 0.253
La 0.218 0.782 0.948
La 0.226 0.774 0.573
La 0.498 0.502 0.751
La 0.502 0.498 0.251
La 0.774 0.226 0.073
La 0.782 0.218 0.448
La 0.872 0.128 0.753
La 0.998 0.002 0.000
Nd 0.101 0.899 0.751
Nd 0.899 0.101 0.251
Er 0.382 0.618 0.006
Er 0.388 0.612 0.497
Er 0.612 0.388 0.997
Er 0.618 0.382 0.506
Sc 0.289 0.711 0.260
Sc 0.711 0.289 0.760
! Space-group type   Cmc2_1
! Calculated formation energy   0.13 eV per atom
! DFT total energy   -4.8595 eV per atom

---

> DFT total energy of number 1 (La2NdErSb4)?

-5.6608 eV per atom

---

> Among the records above, which one has the lowest DFT total energy?

La2NdErSb4